Here is CoReOsSeO after structural relaxation from Alexandria. Energies are from PBE with a Hubbard U.

## Properties
Energy relative to the lowest polymorph listed for this composition ... 50.0 meV/atom
Uncorrected energy ... -0.27645 Ha/atom
Mass density ... 11.915 g cm⁻³

abc: 2.7887 2.7887 10.9744
angles: 90.00 90.00 120.00
Space group P3m1 (No. 156)
Symmetry-distinct sites (fractional):
1 Co 0.0000 0.0000 0.0000
2 Re 0.3333 0.6667 0.5991
3 Os 0.6667 0.3333 0.8020
4 Se 0.3333 0.6667 0.1815
5 O 0.0000 0.0000 0.4817